Compound: Pr2CdCoAs2O2
Source: the Open Quantum Materials Database
Functional: GGA+U
Structure: optimized geometry

DFT total energy   -47.510 eV per formula unit

abc: 4.1289 4.1289 9.1767
angles: 90.00 90.00 90.00
Last column: nearest neighbours and their distance in Å.
Fractional coordinates of all 8 atoms:
Pr (0.0000, 0.5000, 0.1279)  4 O 2.37
Pr (0.5000, 0.0000, 0.8721)  4 O 2.37
Cd (0.5000, 0.5000, 0.5000)  4 As 2.66, 4 Co 2.92
Co (0.0000, 0.0000, 0.5000)  4 As 2.66, 4 Cd 2.92
As (0.0000, 0.5000, 0.6825)  2 Cd 2.66, 2 Co 2.66
As (0.5000, 0.0000, 0.3175)  2 Cd 2.66, 2 Co 2.66
O (0.0000, 0.0000, 0.0000)  4 Pr 2.37
O (0.5000, 0.5000, 0.0000)  4 Pr 2.37